# Y3FeO

A relaxed Y3FeO crystal (GGA+U, the Alexandria database).

```
Y3FeO
1.0
-4.478 1.110 -1.214
0.742 -1.779 -4.364
-1.469 -4.285 1.497
Fe Y O
1 3 1
Direct
0.500 0.500 0.500
0.000 0.500 0.000
0.500 0.000 0.000
0.000 0.000 0.500
0.000 0.000 0.000
```

Calculated values
For the excess energy over the best structure of this formula in the dataset, the calculation gives 0.0 meV per atom. For the total energy, the calculation gives -6.862 eV/atom.